No. 1
First-principles (PBE) data for an optimized crystal structure of PrAl2Ru2, as listed in Alexandria.

a = 4.119 Å, b = 4.119 Å, c = 11.431 Å
α = 100.38°, β = 100.38°, γ = 90.00°
Sites, in units of the cell vectors:
Ru: 0.068 0.068 0.135
Ru: 0.250 0.750 0.500
Ru: 0.932 0.932 0.865
Ru: 0.750 0.250 0.500
Al: 0.000 0.500 0.000
Al: 0.814 0.814 0.629
Al: 0.186 0.186 0.371
Al: 0.500 0.000 0.000
Pr: 0.627 0.627 0.255
Pr: 0.373 0.373 0.745

Values from the calculation:
Its volume is 93.8 Å³/f.u. The energy of formation from the pure elements comes out at -0.441 eV/atom. For the total magnetic moment, the calculation gives 0.0000 μB per atom. For the final energy, the calculation gives -6.60 eV/atom.

No. 2
First-principles (PBE) data for an optimized crystal structure of PrAlRu, as listed in Alexandria.

a = 4.505 Å, b = 4.504 Å, c = 6.795 Å
α = 90.00°, β = 90.19°, γ = 90.00°
Sites, in units of the cell vectors:
Al: 0.749 0.250 0.329
Al: 0.251 0.750 0.671
Pr: 0.751 0.250 0.800
Pr: 0.249 0.750 0.200
Ru: 0.750 0.750 0.500
Ru: 0.250 0.250 0.500

Values from the calculation:
Its volume is 68.9 Å³/f.u. The energy of formation from the pure elements comes out at -0.484 eV/atom. For the total magnetic moment, the calculation gives 0.0000 μB per atom. For the final energy, the calculation gives -6.42 eV/atom.

No. 3
First-principles (PBE) data for an optimized crystal structure of PrAlRu, as listed in Alexandria.

a = 4.163 Å, b = 4.299 Å, c = 4.299 Å
α = 120.00°, β = 90.00°, γ = 90.00°
Sites, in units of the cell vectors:
Al: 0.167 0.000 0.000
Ru: 0.167 0.667 0.333
Pr: 0.667 0.333 0.667

Values from the calculation:
Its volume is 66.6 Å³/f.u. The energy of formation from the pure elements comes out at -0.327 eV/atom. For the total magnetic moment, the calculation gives 0.0000 μB per atom. For the final energy, the calculation gives -6.26 eV/atom.